Record 1
Ta2Be9Nb | PBE | relaxed

Results
Magnetization in μB per cell: 0.0
Calculated formation energy in eV/atom: -0.254

a = 4.5615 Å, b = 4.5615 Å, c = 14.0167 Å
α = 90.00°, β = 90.00°, γ = 120.00°
Space group P6_3/mmc (No. 194)
Unique sites:
Ta  0.3333  0.6667  0.0399 [4 per cell]
Be  0.0000  0.0000  0.0000 [2 per cell]
Be  0.0000  0.0000  0.2500 [2 per cell]
Be  0.1691  0.3381  0.6281 [12 per cell]
Be  0.3333  0.6667  0.7500 [2 per cell]
Nb  0.3333  0.6667  0.2500 [2 per cell]

Record 2
TaBe4Nb | PBE | relaxed

Results
Magnetization in μB per cell: 0.0
Calculated formation energy in eV/atom: -0.205

a = 6.5322 Å, b = 6.5322 Å, c = 6.5322 Å
α = 90.00°, β = 90.00°, γ = 90.00°
Space group F-43m (No. 216)
Unique sites:
Ta  0.0000  0.0000  0.0000 [4 per cell]
Be  0.1252  0.1252  0.6252 [16 per cell]
Nb  0.2500  0.2500  0.2500 [4 per cell]

Record 3
TaTiBeNb | PBE | relaxed

Results
Magnetization in μB per cell: 0.0
Calculated formation energy in eV/atom: 0.131

a = 6.3445 Å, b = 6.3445 Å, c = 6.3445 Å
α = 90.00°, β = 90.00°, γ = 90.00°
Space group F-43m (No. 216)
Unique sites:
Ta  0.0000  0.0000  0.0000 [4 per cell]
Ti  0.0000  0.0000  0.5000 [4 per cell]
Be  0.2500  0.2500  0.7500 [4 per cell]
Nb  0.2500  0.2500  0.2500 [4 per cell]